# Na3MnSiBO7 PBE with a Hubbard U optimized geometry
# **Energy**: -6.570 eV/atom
# **Space group**: P2_1/m (11)
data_Na3MnSiBO7
_space_group_name_H-M_alt 'P 1'
_space_group_IT_number 1
_cell_length_a 5.292
_cell_length_b 6.467
_cell_length_c 8.953
_cell_angle_alpha 90.00
_cell_angle_beta 92.61
_cell_angle_gamma 90.00
loop_
_space_group_symop_operation_xyz
'x,y,z'
loop_
_atom_site_label
_atom_site_fract_x
_atom_site_fract_y
_atom_site_fract_z
Na1 0.231 0.250 0.083
Na2 0.769 0.750 0.917
Na3 0.745 0.011 0.263
Na4 0.745 0.489 0.263
Na5 0.255 0.511 0.737
Na6 0.255 0.989 0.737
Mn1 0.216 0.750 0.334
Mn2 0.784 0.250 0.666
Si1 0.278 0.250 0.430
Si2 0.722 0.750 0.570
B1 0.278 0.750 0.068
B2 0.722 0.250 0.932
O1 0.683 0.250 0.078
O2 0.317 0.750 0.922
O3 0.041 0.750 0.133
O4 0.959 0.250 0.867
O5 0.469 0.750 0.183
O6 0.531 0.250 0.817
O7 0.584 0.250 0.478
O8 0.416 0.750 0.522
O9 0.888 0.750 0.422
O10 0.112 0.250 0.578
O11 0.212 0.052 0.318
O12 0.212 0.448 0.318
O13 0.788 0.552 0.682
O14 0.788 0.948 0.682